Material: Na3CuO2
Method: DFT, PBEsol
State: optimized geometry

Unit cell a=5.7629 b=7.7153 c=8.6732 alpha=90.00 beta=90.00 gamma=111.59
With the nearest neighbours (Å) after each atom.
Positions (direct):
Na (0.2455, 0.5010, 0.0328)  3 O 2.23-2.48
Na (0.2588, 0.6252, 0.4701)  3 O 2.27-2.50
Na (0.7621, 0.6888, 0.2842)  3 O 2.38-2.42
Na (0.7412, 0.8748, 0.9701)  3 O 2.27-2.50
Na (0.2379, 0.8112, 0.7842)  3 O 2.38-2.42
Na (0.7545, 0.9990, 0.5328)  3 O 2.23-2.48
Na (0.2455, 0.0010, 0.4672)  3 O 2.23-2.48
Na (0.7621, 0.1888, 0.2158)  3 O 2.38-2.42
Na (0.2588, 0.1252, 0.0299)  3 O 2.27-2.50
Na (0.2379, 0.3112, 0.7158)  3 O 2.38-2.42
Na (0.7412, 0.3748, 0.5299)  3 O 2.27-2.50
Na (0.7545, 0.4990, 0.9672)  3 O 2.23-2.48
Cu (0.7051, 0.6718, 0.6782)  2 O 1.78
Cu (0.2949, 0.8282, 0.1782)  2 O 1.78
Cu (0.7051, 0.1718, 0.8218)  2 O 1.78
Cu (0.2949, 0.3282, 0.3218)  2 O 1.78
O (0.4703, 0.6162, 0.8224)  1 Cu 1.78
O (0.9450, 0.7217, 0.5363)  1 Cu 1.78
O (0.5297, 0.8838, 0.3224)  1 Cu 1.78
O (0.0550, 0.7783, 0.0363)  1 Cu 1.78
O (0.9450, 0.2217, 0.9637)  1 Cu 1.78
O (0.4703, 0.1162, 0.6776)  1 Cu 1.78
O (0.0550, 0.2783, 0.4637)  1 Cu 1.78
O (0.5297, 0.3838, 0.1776)  1 Cu 1.78

- energy above the lowest structure with this stoichiometry (eV per formula unit) = 0.03
- energy relative to the elements, uncorrected (eV/atom) = -1.10